No. 1
DFT (PBE) results for a relaxed structure of Tb6SmHo3.

Cell lengths 9.6299, 20.9981, 6.3783 Å; angles 90.00, 90.00, 90.00 degrees
With the nearest neighbours (Å) after each atom.
Space group Cmc2_1 (No. 36)
Asymmetric unit:
Tb 0.0000 0.0151 0.0000  4 Tb 3.25-3.62, 1 Sm 3.31, 4 Ho 3.53-3.57
Tb 0.0000 0.3015 0.0207  1 Ho 3.14, 1 Sm 3.26, 2 Tb 3.43
Tb 0.1756 0.2813 0.4831  3 Ho 3.28-3.66, 3 Tb 3.38-3.58, 2 Sm 3.54-3.66
Tb 0.1801 0.4406 0.2395  3 Ho 3.32-3.53, 4 Tb 3.47-3.69
Sm 0.0000 0.1609 0.8022  4 Tb 3.26-3.54, 2 Ho 3.52
Ho 0.0000 0.4189 0.7160  3 Tb 3.14-3.43, 2 Ho 3.40
Ho 0.1692 0.1268 0.3265  2 Ho 3.26-3.40, 5 Tb 3.28-3.57, 1 Sm 3.52

Output
Energy above the lowest structure with this stoichiometry: 0.0 meV/atom
Crystal system: orthorhombic
Formation enthalpy at 0 K: 0.1246 eV per atom

=====

No. 2
DFT (PBE) results for a relaxed structure of Tb12SmHo7.

Cell lengths 12.8081, 12.8081, 13.6772 Å; angles 90.00, 90.00, 120.00 degrees
With the nearest neighbours (Å) after each atom.
Space group R-3 (No. 148, hexagonal axes)
Asymmetric unit:
Tb 0.0018 0.4357 0.2484  3 Tb 3.34-3.58, 3 Ho 3.36-3.57
Tb 0.0681 0.1992 0.3454  2 Ho 3.07-3.08, 2 Tb 3.10-3.34
Sm 0.0000 0.0000 0.0000  6 Ho 3.06
Ho 0.0000 0.0000 0.5000  6 Tb 3.08
Ho 0.0681 0.8672 0.8500  1 Sm 3.06, 2 Tb 3.07-3.36, 1 Ho 3.09

Output
Energy above the lowest structure with this stoichiometry: 0.0 meV/atom
Crystal system: trigonal
Formation enthalpy at 0 K: 0.2962 eV per atom

=====

No. 3
DFT (PBE) results for a relaxed structure of TbSm2Ho7.

Cell lengths 6.4572, 28.6943, 3.5082 Å; angles 90.00, 90.00, 90.00 degrees
With the nearest neighbours (Å) after each atom.
Space group Cmmm (No. 65)
Asymmetric unit:
Tb 0.0000 0.0000 0.0000  2 Tb 3.51, 12 Ho 3.67-3.68
Sm 0.0000 0.2918 0.5000  2 Sm 3.51, 8 Ho 3.53-3.73
Ho 0.0000 0.1851 0.0000  6 Ho 3.44-3.51, 6 Sm 3.53-3.73
Ho 0.0000 0.5000 0.5000  6 Ho 3.26-3.51
Ho 0.2467 0.0983 0.5000  7 Ho 3.19-3.51, 1 Sm 3.55

Output
Energy above the lowest structure with this stoichiometry: 142.1 meV/atom
Crystal system: orthorhombic
Formation enthalpy at 0 K: 0.1619 eV per atom